The following is a DFT calculation (PBE-GGA) of FeHgGeW after structural relaxation.

E = -5.594 eV/atom
symmetry = F-43m, No. 216
distance to the lowest polymorph of the same formula = 0.90 eV/f.u.

a = 4.5541 Å, b = 4.5541 Å, c = 4.5541 Å
α = 60.00°, β = 60.00°, γ = 60.00°
Positions (direct):
1 Hg 0.2500 0.2500 0.2500
2 W 0.5000 0.5000 0.5000
3 Ge 0.0000 0.0000 0.0000
4 Fe 0.7500 0.7500 0.7500

***

The following is a DFT calculation (PBE-GGA) of Tm2Si2Tc after structural relaxation.

E = -6.797 eV/atom
symmetry = C2/m, No. 12
distance to the lowest polymorph of the same formula = 0.00 eV/f.u.

a = 5.7263 Å, b = 5.7263 Å, c = 9.9703 Å
α = 116.19°, β = 116.19°, γ = 42.47°
Positions (direct):
1 Si 0.3603 0.3603 0.4403
2 Si 0.6397 0.6397 0.5597
3 Si 0.5043 0.5043 0.8787
4 Si 0.4957 0.4957 0.1213
5 Tm 0.0058 0.0058 0.6777
6 Tm 0.1871 0.1871 0.1102
7 Tm 0.8129 0.8129 0.8898
8 Tm 0.9942 0.9942 0.3223
9 Tc 0.2727 0.2727 0.6304
10 Tc 0.7273 0.7273 0.3696

***

The following is a DFT calculation (PBE-GGA) of RbGdScTe3 after structural relaxation.

E = -4.797 eV/atom
symmetry = Cmcm, No. 63

a = 8.5871 Å, b = 8.5871 Å, c = 11.8262 Å
α = 90.00°, β = 90.00°, γ = 149.40°
Positions (direct):
1 Te 0.3707 0.6293 0.0514
2 Te 0.6293 0.3707 0.5514
3 Te 0.9373 0.0627 0.7500
4 Te 0.3707 0.6293 0.4486
5 Te 0.0627 0.9373 0.2500
6 Te 0.6293 0.3707 0.9486
7 Gd 0.0000 0.0000 0.0000
8 Gd 0.0000 0.0000 0.5000
9 Sc 0.4598 0.5402 0.2500
10 Sc 0.5402 0.4598 0.7500
11 Rb 0.7408 0.2592 0.2500
12 Rb 0.2592 0.7408 0.7500

***

The following is a DFT calculation (PBE-GGA) of SmCoRe after structural relaxation.

E = -6.419 eV/atom
symmetry = F-43m, No. 216
ΔE_f = 1.66 eV per atom

a = 4.4873 Å, b = 4.4873 Å, c = 4.4873 Å
α = 60.00°, β = 60.00°, γ = 60.00°
Positions (direct):
1 Re 0.7500 0.7500 0.7500
2 Co 0.2500 0.2500 0.2500
3 Sm 0.0000 0.0000 0.0000

***

The following is a DFT calculation (PBE-GGA) of RbTcN3 after structural relaxation.

E = -6.863 eV/atom
symmetry = P-1, No. 2

a = 5.2959 Å, b = 5.7796 Å, c = 6.3554 Å
α = 109.30°, β = 90.63°, γ = 92.69°
Last column: magnetic moment on the atom in μB.
Positions (direct):
1 N 0.2535 0.3344 0.3572  0.29
2 N 0.0301 0.1312 0.7083  0.30
3 N 0.7465 0.6656 0.6428  0.29
4 N 0.9699 0.8688 0.2917  0.30
5 N 0.5276 0.8910 0.2912  0.22
6 N 0.4724 0.1090 0.7088  0.22
7 Rb 0.7535 0.3346 0.1530  0.00
8 Rb 0.2465 0.6654 0.8470  0.00
9 Tc 0.2541 0.0695 0.4269  -0.12
10 Tc 0.7459 0.9305 0.5731  -0.12

***

The following is a DFT calculation (PBE-GGA) of Li4Zn2SnAu after structural relaxation.

E = -2.576 eV/atom
symmetry = P-4m2, No. 115

a = 4.4351 Å, b = 4.4351 Å, c = 6.3485 Å
α = 90.00°, β = 90.00°, γ = 90.00°
Positions (direct):
1 Li 0.0000 0.5000 0.2679
2 Li 0.5000 0.0000 0.7321
3 Li 0.0000 0.0000 0.0000
4 Li 0.5000 0.5000 0.5000
5 Au 0.0000 0.0000 0.5000
6 Zn 0.0000 0.5000 0.7377
7 Zn 0.5000 0.0000 0.2623
8 Sn 0.5000 0.5000 0.0000

***

The following is a DFT calculation (PBE-GGA) of NaAg2Sb2 after structural relaxation.

E = -3.167 eV/atom
symmetry = I4/mmm, No. 139

a = 6.8863 Å, b = 6.8863 Å, c = 6.8863 Å
α = 140.93°, β = 140.93°, γ = 56.45°
Positions (direct):
1 Sb 0.3842 0.3842 0.0000
2 Sb 0.6158 0.6158 0.0000
3 Na 0.0000 0.0000 0.0000
4 Ag 0.7500 0.2500 0.5000
5 Ag 0.2500 0.7500 0.5000

***

The following is a DFT calculation (PBE-GGA) of Cd2BiW after structural relaxation.

E = -3.753 eV/atom
symmetry = F-43m, No. 216

a = 4.9651 Å, b = 4.9651 Å, c = 4.9651 Å
α = 60.00°, β = 60.00°, γ = 60.00°
Last column: magnetic moment on the atom in μB.
Positions (direct):
1 Cd 0.7500 0.7500 0.7500  -0.01
2 Cd 0.0000 0.0000 0.0000  0.00
3 Bi 0.5000 0.5000 0.5000  -0.03
4 W 0.2500 0.2500 0.2500  0.70

***

The following is a DFT calculation (PBE-GGA) of Cs3W2Cl9 after structural relaxation.

E = -4.527 eV/atom
symmetry = P6_3/mmc, No. 194

a = 7.4114 Å, b = 7.4109 Å, c = 17.9583 Å
α = 90.00°, β = 90.00°, γ = 120.00°
Last column: magnetic moment on the atom in μB.
Positions (direct):
1 Cl 0.6415 0.8207 0.5958  0.02
2 Cl 0.1793 0.8207 0.5958  0.02
3 Cl 0.8207 0.6415 0.4042  0.02
4 Cl 0.0105 0.5053 0.7500  0.03
5 Cl 0.8207 0.1793 0.0958  0.02
6 Cl 0.5053 0.4947 0.2500  0.02
7 Cl 0.6415 0.8207 0.9042  0.02
8 Cl 0.8207 0.1793 0.4042  0.02
9 Cl 0.3585 0.1793 0.0958  0.02
10 Cl 0.1793 0.3585 0.9042  0.02
11 Cl 0.1793 0.3585 0.5958  0.02
12 Cl 0.3585 0.1793 0.4042  0.02
13 Cl 0.9895 0.4947 0.2500  0.03
14 Cl 0.8207 0.6415 0.0958  0.02
15 Cl 0.5053 0.0105 0.2500  0.02
16 Cl 0.1793 0.8207 0.9042  0.02
17 Cl 0.4947 0.5053 0.7500  0.02
18 Cl 0.4947 0.9895 0.7500  0.02
19 Cs 0.0000 0.0000 0.2500  0.00
20 Cs 0.3333 0.6667 0.0721  0.00
21 Cs 0.6667 0.3333 0.5721  0.00
22 Cs 0.3333 0.6667 0.4279  0.00
23 Cs 0.6667 0.3333 0.9279  0.00
24 Cs 0.0000 0.0000 0.7500  0.00
25 W 0.6667 0.3334 0.3273  1.46
26 W 0.3333 0.6666 0.8273  1.46
27 W 0.6667 0.3334 0.1727  1.46
28 W 0.3333 0.6666 0.6727  1.46

***

The following is a DFT calculation (PBE-GGA) of NdAlPt after structural relaxation.

E = -5.824 eV/atom
symmetry = P6_3/mmc, No. 194

a = 4.4308 Å, b = 4.4308 Å, c = 7.8292 Å
α = 90.00°, β = 90.00°, γ = 120.00°
Positions (direct):
1 Nd 0.0000 0.0000 0.5000
2 Nd 0.0000 0.0000 0.0000
3 Pt 0.3333 0.6667 0.7500
4 Pt 0.6667 0.3333 0.2500
5 Al 0.3333 0.6667 0.2500
6 Al 0.6667 0.3333 0.7500

***

The following is a DFT calculation (PBE-GGA) of Al2Os2O5 after structural relaxation.

E = -6.581 eV/atom
symmetry = P4/mmm, No. 123
distance to the lowest polymorph of the same formula = 4.57 eV/f.u.

a = 6.7125 Å, b = 3.7565 Å, c = 3.7565 Å
α = 90.00°, β = 90.00°, γ = 90.00°
Positions (direct):
1 Al 0.0000 0.0000 0.0000
2 Al 0.5000 0.0000 0.0000
3 Os 0.8119 0.5000 0.5000
4 Os 0.1881 0.5000 0.5000
5 O 0.2922 0.5000 0.0000
6 O 0.7078 0.0000 0.5000
7 O 0.5000 0.5000 0.5000
8 O 0.2922 0.0000 0.5000
9 O 0.7078 0.5000 0.0000

***

The following is a DFT calculation (PBE-GGA) of CoNiSb after structural relaxation.

E = -5.607 eV/atom
symmetry = P6_3/mmc, No. 194

a = 4.2397 Å, b = 4.2397 Å, c = 5.3069 Å
α = 90.00°, β = 90.00°, γ = 120.00°
Positions (direct):
1 Sb 0.6667 0.3333 0.7500
2 Sb 0.3333 0.6667 0.2500
3 Ni 0.0000 0.0000 0.0000
4 Ni 0.0000 0.0000 0.5000
5 Co 0.6667 0.3333 0.2500
6 Co 0.3333 0.6667 0.7500

***

The following is a DFT calculation (PBE-GGA) of PuTh2 after structural relaxation.

E = -7.609 eV/atom
symmetry = Fd-3m, No. 227
ΔE_f = 2.04 eV per atom

a = 8.4596 Å, b = 8.4596 Å, c = 8.4596 Å
α = 60.00°, β = 60.00°, γ = 60.00°
Last column: magnetic moment on the atom in μB.
Positions (direct):
1 Th 0.3750 0.3750 0.8750  0.84
2 Th 0.3750 0.3750 0.3750  0.84
3 Th 0.3750 0.8750 0.3750  0.85
4 Th 0.8750 0.3750 0.3750  0.79
5 Pu 0.2500 0.2500 0.2500  5.73
6 Pu 0.5000 0.5000 0.5000  5.73

***

The following is a DFT calculation (PBE-GGA) of KCoAgS3 after structural relaxation.

E = -4.145 eV/atom
symmetry = Cmcm, No. 63

a = 7.6068 Å, b = 7.6068 Å, c = 9.7645 Å
α = 90.00°, β = 90.00°, γ = 26.35°
Last column: magnetic moment on the atom in μB.
Positions (direct):
1 Co 0.5000 0.5000 0.5000  0.47
2 Co 0.5000 0.5000 0.0000  0.48
3 Ag 0.0678 0.0678 0.2500  0.03
4 Ag 0.9322 0.9322 0.7500  0.03
5 S 0.5572 0.5572 0.7500  0.03
6 S 0.8978 0.8978 0.9891  0.02
7 S 0.1022 0.1022 0.0109  0.02
8 S 0.4428 0.4428 0.2500  0.03
9 S 0.8978 0.8978 0.5109  0.02
10 S 0.1022 0.1022 0.4891  0.02
11 K 0.2378 0.2378 0.7500  0.00
12 K 0.7622 0.7622 0.2500  0.00

***

The following is a DFT calculation (PBE-GGA) of Nb2Se3S after structural relaxation.

E = -6.685 eV/atom
symmetry = Cm, No. 8
distance to the lowest polymorph of the same formula = 0.00 eV/f.u.

a = 12.2393 Å, b = 12.2393 Å, c = 5.9667 Å
α = 90.05°, β = 90.05°, γ = 16.17°
Positions (direct):
1 S 0.0641 0.0641 0.7418
2 Se 0.4321 0.4321 0.2437
3 Se 0.9301 0.9301 0.7399
4 Se 0.5703 0.5703 0.2415
5 Nb 0.5022 0.5022 0.5834
6 Nb 0.0012 0.0012 0.0676

***

The following is a DFT calculation (PBE-GGA) of NaZrCoGe after structural relaxation.

E = -5.316 eV/atom
symmetry = F-43m, No. 216
distance to the lowest polymorph of the same formula = 0.56 eV/f.u.

a = 4.6253 Å, b = 4.6253 Å, c = 4.6253 Å
α = 60.00°, β = 60.00°, γ = 60.00°
Positions (direct):
1 Na 0.7500 0.7500 0.7500
2 Zr 0.2500 0.2500 0.2500
3 Ge 0.5000 0.5000 0.5000
4 Co 0.0000 0.0000 0.0000

***

The following is a DFT calculation (PBE-GGA) of Sc4CoBiC2 after structural relaxation.

E = -7.277 eV/atom
symmetry = P-6m2, No. 187
distance to the lowest polymorph of the same formula = 0.00 eV/f.u.

a = 3.3670 Å, b = 3.3670 Å, c = 13.7874 Å
α = 90.00°, β = 90.00°, γ = 120.00°
Last column: magnetic moment on the atom in μB.
Positions (direct):
1 Sc 0.6667 0.3333 0.8122  -0.03
2 Sc 0.3333 0.6667 0.6351  -0.11
3 Sc 0.3333 0.6667 0.3649  -0.11
4 Sc 0.6667 0.3333 0.1878  -0.03
5 C 0.0000 0.0000 0.2690  0.01
6 C 0.0000 0.0000 0.7310  0.01
7 Co 0.6667 0.3333 0.5000  0.95
8 Bi 0.3333 0.6667 0.0000  0.01

***

The following is a DFT calculation (PBE-GGA) of InTe2IrAuSe after structural relaxation.

E = -4.263 eV/atom
symmetry = Cmcm, No. 63

a = 7.5617 Å, b = 7.5617 Å, c = 10.4919 Å
α = 90.00°, β = 90.00°, γ = 148.63°
Positions (direct):
1 In 0.8191 0.1809 0.7500
2 In 0.1809 0.8191 0.2500
3 Au 0.1857 0.8143 0.7500
4 Au 0.8143 0.1857 0.2500
5 Se 0.5479 0.4521 0.2500
6 Se 0.4521 0.5479 0.7500
7 Ir 0.5000 0.5000 0.0000
8 Ir 0.5000 0.5000 0.5000
9 Te 0.8839 0.1161 0.0193
10 Te 0.1161 0.8839 0.5193
11 Te 0.1161 0.8839 0.9807
12 Te 0.8839 0.1161 0.4807

***

The following is a DFT calculation (PBE-GGA) of AcYAu after structural relaxation.

E = -4.968 eV/atom
symmetry = F-43m, No. 216
distance to the lowest polymorph of the same formula = 0.00 eV/f.u.
ΔE_f = -0.36 eV per atom

a = 5.2032 Å, b = 5.2032 Å, c = 5.2032 Å
α = 60.00°, β = 60.00°, γ = 60.00°
Positions (direct):
1 Y 0.7500 0.7500 0.7500
2 Au 0.0000 0.0000 0.0000
3 Ac 0.2500 0.2500 0.2500

***

The following is a DFT calculation (PBE-GGA) of Co2Re3 after structural relaxation.

E = -10.030 eV/atom
symmetry = P4_2/mnm, No. 136
distance to the lowest polymorph of the same formula = 0.28 eV/f.u.
ΔE_f = 0.27 eV per atom

a = 9.1387 Å, b = 9.1387 Å, c = 4.9025 Å
α = 90.00°, β = 90.00°, γ = 90.00°
Last column: magnetic moment on the atom in μB.
Positions (direct):
1 Re 0.6824 0.3176 0.2488  0.01
2 Re 0.1824 0.1824 0.7488  0.02
3 Re 0.2739 0.9367 0.0000  0.04
4 Re 0.4367 0.2261 0.5000  0.03
5 Re 0.1824 0.1824 0.2512  0.03
6 Re 0.0000 0.0000 0.0000  0.06
7 Re 0.8176 0.8176 0.2512  0.02
8 Re 0.7261 0.0633 0.0000  0.04
9 Re 0.8176 0.8176 0.7488  0.03
10 Re 0.5633 0.7739 0.5000  0.03
11 Re 0.6824 0.3176 0.7512  0.01
12 Re 0.9367 0.2739 0.0000  0.03
13 Re 0.0633 0.7261 0.0000  0.03
14 Re 0.3176 0.6824 0.2488  0.01
15 Re 0.5000 0.5000 0.5000  0.05
16 Re 0.7739 0.5633 0.5000  0.05
17 Re 0.3176 0.6824 0.7512  0.01
18 Re 0.2261 0.4367 0.5000  0.05
19 Co 0.3989 0.3989 0.0000  -0.93
20 Co 0.6273 0.0400 0.5000  -0.16
21 Co 0.8727 0.5400 0.0000  -0.16
22 Co 0.8989 0.1011 0.5000  -0.96
23 Co 0.4600 0.1273 0.0000  -0.14
24 Co 0.0400 0.6273 0.5000  -0.15
25 Co 0.6011 0.6011 0.0000  -0.93
26 Co 0.1273 0.4600 0.0000  -0.16
27 Co 0.5400 0.8727 0.0000  -0.14
28 Co 0.3727 0.9600 0.5000  -0.16
29 Co 0.1011 0.8989 0.5000  -0.96
30 Co 0.9600 0.3727 0.5000  -0.15

***

The following is a DFT calculation (PBE-GGA) of AgAsIrO after structural relaxation.

E = -5.321 eV/atom
symmetry = Pmc2_1, No. 26
distance to the lowest polymorph of the same formula = 0.72 eV/f.u.

a = 3.8516 Å, b = 6.2009 Å, c = 5.9595 Å
α = 90.00°, β = 90.00°, γ = 90.00°
Positions (direct):
1 Ag 0.5000 0.6389 0.5290
2 Ag 0.5000 0.3611 0.0290
3 As 0.0000 0.8506 0.3503
4 As 0.0000 0.1494 0.8503
5 O 0.5000 0.2779 0.4142
6 O 0.5000 0.7221 0.9142
7 Ir 0.0000 0.2178 0.4605
8 Ir 0.0000 0.7822 0.9605

***

The following is a DFT calculation (PBE-GGA) of LaAg2Au after structural relaxation.

E = -3.898 eV/atom
symmetry = Pm, No. 6
ΔE_f = -0.44 eV per atom

a = 4.5321 Å, b = 7.4827 Å, c = 5.8005 Å
α = 90.00°, β = 112.86°, γ = 90.00°
Positions (direct):
1 La 0.1054 0.0000 0.5015
2 La 0.2679 0.5000 0.8235
3 Ag 0.9746 0.5000 0.2379
4 Ag 0.8188 0.8079 0.9260
5 Ag 0.3992 0.0000 0.0880
6 Ag 0.8188 0.1921 0.9260
7 Au 0.5647 0.6963 0.4198
8 Au 0.5647 0.3037 0.4198

***

The following is a DFT calculation (PBE-GGA) of BeCd2Hg after structural relaxation.

E = -1.017 eV/atom
symmetry = F-43m, No. 216

a = 4.7655 Å, b = 4.7655 Å, c = 4.7655 Å
α = 60.00°, β = 60.00°, γ = 60.00°
Positions (direct):
1 Cd 0.7500 0.7500 0.7500
2 Cd 0.0000 0.0000 0.0000
3 Hg 0.2500 0.2500 0.2500
4 Be 0.5000 0.5000 0.5000